First-principles (GGA-PBE) data for an optimized crystal structure of BeAl2Tc, as listed in Alexandria.

CIF file:
```
data_BeAl2Tc
_chemical_formula_sum 'Be4 Al8 Tc4'
_symmetry_space_group_name_H-M 'I -4 2 d'
_symmetry_Int_Tables_number 122
_symmetry_space_group_name_Hall 'I -4 2bw'
_cell_length_a 6.757
_cell_length_b 6.757
_cell_length_c 4.954
_cell_angle_alpha 90.00
_cell_angle_beta 90.00
_cell_angle_gamma 90.00
loop_
_atom_site_label
_atom_site_type_symbol
_atom_site_fract_x
_atom_site_fract_y
_atom_site_fract_z
Be1 Be 0.000 0.000 0.000
Al1 Al 0.210 0.250 0.125
Tc1 Tc 0.000 0.000 0.500
```

## Properties
D(E_F): 0.2635 states/eV per atom
ΔE_f: 0.315 eV/atom
total DFT energy (no corrections): -5.0795 eV/atom
spin magnetization: 4.0 Bohr magnetons per cell